Entry from Alexandria: a relaxed structure of ZrCdHg2 (PBE-GGA).

abc: 4.105 4.615 4.615
angles: 90.00 90.00 90.00
Positions (direct):
1 Hg 0.000 0.500 0.000
2 Hg 0.000 0.000 0.500
3 Zr 0.500 0.000 0.000
4 Cd 0.500 0.500 0.500

Properties
- Formation energy from the elements: -0.098 eV per atom
- DFT total energy: -2.61 eV per atom